Computed, not measured: a geometry-optimized Be4FeIr structure at the PBE-GGA level of DFT.

a = 4.277 Å, b = 4.277 Å, c = 4.277 Å
α = 60.00°, β = 60.00°, γ = 60.00°
Fractional positions:
Be: 0.124 0.124 0.124
Be: 0.124 0.124 0.628
Be: 0.124 0.628 0.124
Be: 0.628 0.124 0.124
Fe: 0.750 0.750 0.750
Ir: 0.500 0.500 0.500

Values from the calculation:
energy of formation	-0.406	eV per atom
calculated volume	55.3	Å³/f.u.
calculated density	8.53	g/cm3